AsH | Alexandria via LeMat-Bulk | GGA-PBE | relaxed; calculated total energy = -3.931 eV/atom; space-group type = I4/m (87); energy above the lowest structure with this stoichiometry = 14.0 meV/atom
1.0
9.3008 0.0000 0.0000
0.0000 9.3008 0.0000
0.0000 0.0000 3.6219
As H
8 8
direct
0.1577 0.7532 0.0000 As
0.2468 0.1577 0.0000 As
0.2532 0.3423 0.5000 As
0.3423 0.7468 0.5000 As
0.6577 0.2532 0.5000 As
0.7468 0.6577 0.5000 As
0.7532 0.8423 0.0000 As
0.8423 0.2468 0.0000 As
0.0863 0.3467 0.5000 H
0.1533 0.5863 0.0000 H
0.3467 0.9137 0.5000 H
0.4137 0.1533 0.0000 H
0.5863 0.8467 0.0000 H
0.6533 0.0863 0.5000 H
0.8467 0.4137 0.0000 H
0.9137 0.6533 0.5000 H


ScCd2Cl | Alexandria via LeMat-Bulk | GGA-PBE | relaxed; formation energy without anion corrections = -0.350 eV per atom; calculated total energy = -2.852 eV/atom; space-group type = R-3m (166); energy above the lowest structure with this stoichiometry = 240.3 meV/atom
1.0
3.4480 0.0000 0.0000
-1.7240 2.9860 0.0000
0.0000 0.0000 27.3045
Sc Cd Cl
3 6 3
direct
0.0000 0.0000 0.0000 Sc
0.3333 0.6667 0.6667 Sc
0.6667 0.3333 0.3333 Sc
0.0000 0.0000 0.2464 Cd
0.0000 0.0000 0.7536 Cd
0.3333 0.6667 0.4202 Cd
0.3333 0.6667 0.9131 Cd
0.6667 0.3333 0.0869 Cd
0.6667 0.3333 0.5798 Cd
0.0000 0.0000 0.5000 Cl
0.3333 0.6667 0.1667 Cl
0.6667 0.3333 0.8333 Cl


VOsW2 | Alexandria via LeMat-Bulk | GGA-PBE | relaxed; calculated total energy = -11.554 eV/atom; calculated formation energy = 9 meV per atom; space-group type = P4/mmm (123); energy above the lowest structure with this stoichiometry = 5.3 meV/atom
1.0
3.0898 0.0000 0.0000
0.0000 3.0898 0.0000
0.0000 0.0000 6.2655
V Os W
1 1 2
direct
0.0000 0.0000 0.0000 V
0.0000 0.0000 0.5000 Os
0.5000 0.5000 0.2348 W
0.5000 0.5000 0.7652 W


RbHO2 | Alexandria via LeMat-Bulk | GGA-PBE | relaxed; calculated total energy = -3.578 eV/atom; space-group type = I4_1/amd (141); energy above the lowest structure with this stoichiometry = 845.6 meV/atom
1.0
4.3925 0.0000 0.0000
0.0000 4.3925 0.0000
0.0000 0.0000 9.9945
Rb H O
4 4 8
direct
0.0000 0.2500 0.3750 Rb
0.0000 0.7500 0.6250 Rb
0.5000 0.2500 0.1250 Rb
0.5000 0.7500 0.8750 Rb
0.0000 0.2500 0.8750 H
0.0000 0.7500 0.1250 H
0.5000 0.2500 0.6250 H
0.5000 0.7500 0.3750 H
0.0000 0.0000 0.0000 O
0.0000 0.5000 0.0000 O
0.2500 0.2500 0.7500 O
0.2500 0.7500 0.2500 O
0.5000 0.0000 0.5000 O
0.5000 0.5000 0.5000 O
0.7500 0.2500 0.7500 O
0.7500 0.7500 0.2500 O


BaTa2Sb | Alexandria via LeMat-Bulk | GGA-PBE | relaxed; formation energy without anion corrections = 0.633 eV per atom; calculated total energy = -6.805 eV/atom; space-group type = P2/m (10)
1.0
3.4158 0.0000 0.0000
0.0000 5.1826 0.0000
-0.5888 0.0000 6.3022
Ba Ta Sb
1 2 1
direct
0.0000 0.0000 0.0000 Ba
0.3112 0.5000 0.6595 Ta
0.6888 0.5000 0.3405 Ta
0.5000 0.0000 0.5000 Sb


Pu2Pa2Si4Ni | Alexandria via LeMat-Bulk | GGA-PBE | relaxed; formation energy without anion corrections = -0.254 eV per atom; calculated total energy = -8.601 eV/atom; space-group type = I4/mmm (139)
1.0
-3.3175 3.3175 4.0820
3.3175 -3.3175 4.0820
3.3175 3.3175 -4.0820
Pu Pa Si Ni
2 2 4 1
direct
0.1785 0.1785 0.0000 Pu
0.8215 0.8215 0.0000 Pu
0.2500 0.7500 0.5000 Pa
0.7500 0.2500 0.5000 Pa
0.2639 0.2639 0.5278 Si
0.2639 0.7361 0.0000 Si
0.7361 0.2639 0.0000 Si
0.7361 0.7361 0.4722 Si
0.5000 0.5000 0.0000 Ni


Lu2Ni21B6 | Alexandria via LeMat-Bulk | GGA-PBE | relaxed; calculated total energy = -6.247 eV/atom; calculated formation energy = -367 meV per atom; space-group type = Fm-3m (225)
1.0
0.0000 5.3186 5.3186
5.3186 0.0000 5.3186
5.3186 5.3186 0.0000
Lu Ni B
2 21 6
direct
0.2500 0.2500 0.2500 Lu
0.7500 0.7500 0.7500 Lu
0.0000 0.0000 0.0000 Ni
0.0000 0.0000 0.3372 Ni
0.0000 0.0000 0.6628 Ni
0.0000 0.3372 0.0000 Ni
0.0000 0.3372 0.6628 Ni
0.0000 0.6628 0.0000 Ni
0.0000 0.6628 0.3372 Ni
0.1616 0.6128 0.6128 Ni
0.3372 0.0000 0.0000 Ni
0.3372 0.0000 0.6628 Ni
0.3372 0.6628 0.0000 Ni
0.3872 0.3872 0.3872 Ni
0.3872 0.3872 0.8384 Ni
0.3872 0.8384 0.3872 Ni
0.6128 0.1616 0.6128 Ni
0.6128 0.6128 0.1616 Ni
0.6128 0.6128 0.6128 Ni
0.6628 0.0000 0.0000 Ni
0.6628 0.0000 0.3372 Ni
0.6628 0.3372 0.0000 Ni
0.8384 0.3872 0.3872 Ni
0.2705 0.2705 0.7295 B
0.2705 0.7295 0.2705 B
0.2705 0.7295 0.7295 B
0.7295 0.2705 0.2705 B
0.7295 0.2705 0.7295 B
0.7295 0.7295 0.2705 B


Dy2ZrTl3Te6 | Alexandria via LeMat-Bulk | GGA-PBE | relaxed; formation energy without anion corrections = -0.891 eV per atom; calculated total energy = -4.533 eV/atom; space-group type = C2/m (12)
1.0
3.7593 -6.5062 0.0000
3.7593 6.5062 0.0000
-2.5029 0.0000 8.2677
Dy Zr Tl Te
2 1 3 6
direct
0.1657 0.8343 0.0000 Dy
0.8343 0.1657 0.0000 Dy
0.5000 0.5000 0.0000 Zr
0.0000 0.0000 0.5000 Tl
0.3285 0.6715 0.5000 Tl
0.6715 0.3285 0.5000 Tl
0.1082 0.4301 0.7891 Te
0.2503 0.2503 0.2147 Te
0.4301 0.1082 0.7891 Te
0.5699 0.8918 0.2109 Te
0.7497 0.7497 0.7853 Te
0.8918 0.5699 0.2109 Te


Pm6Pr3Sc | Alexandria via LeMat-Bulk | GGA-PBE | relaxed; calculated total energy = -4.779 eV/atom; calculated formation energy = 138 meV per atom; space-group type = Cmc2_1 (36)
1.0
5.5312 -9.6220 0.0000
5.5312 9.6220 0.0000
0.0000 0.0000 6.4398
Pm Pr Sc
12 6 2
direct
0.0404 0.9596 0.5000 Pm
0.0488 0.4672 0.9882 Pm
0.2767 0.7233 0.2561 Pm
0.2897 0.3750 0.1745 Pm
0.3750 0.2897 0.6745 Pm
0.4672 0.0488 0.4882 Pm
0.5328 0.9512 0.9882 Pm
0.6250 0.7103 0.1745 Pm
0.7103 0.6250 0.6745 Pm
0.7233 0.2767 0.7561 Pm
0.9512 0.5328 0.4882 Pm
0.9596 0.0404 0.0000 Pm
0.0540 0.2859 0.5750 Pr
0.2859 0.0540 0.0750 Pr
0.3826 0.6174 0.6929 Pr
0.6174 0.3826 0.1929 Pr
0.7141 0.9460 0.5750 Pr
0.9460 0.7141 0.0750 Pr
0.1968 0.8032 0.7351 Sc
0.8032 0.1968 0.2351 Sc


CaPmH | Alexandria via LeMat-Bulk | GGA-PBE | relaxed; calculated total energy = -3.527 eV/atom; space-group type = P3m1 (156); energy above the lowest structure with this stoichiometry = 0.0 meV/atom
1.0
3.6921 0.0000 0.0000
-1.8461 3.1975 0.0000
0.0000 0.0000 6.0704
Ca Pm H
1 1 1
direct
0.0000 0.0000 0.0000 Ca
0.3333 0.6667 0.4824 Pm
0.6667 0.3333 0.2606 H


BeFe2CoSb | Alexandria via LeMat-Bulk | GGA-PBE | relaxed; formation energy without anion corrections = 1.561 eV per atom; calculated total energy = -4.815 eV/atom; space-group type = P4/mmm (123)
1.0
4.7035 0.0000 0.0000
0.0000 4.7035 0.0000
0.0000 0.0000 4.6023
Be Fe Co Sb
1 2 1 1
direct
0.0000 0.0000 0.0000 Be
0.0000 0.5000 0.5000 Fe
0.5000 0.0000 0.5000 Fe
0.5000 0.5000 0.0000 Co
0.5000 0.5000 0.5000 Sb


Ac2CdAgO6 | Alexandria via LeMat-Bulk | GGA-PBE | relaxed; formation energy without anion corrections = -1.737 eV per atom; calculated total energy = -5.910 eV/atom; space-group type = P4mm (99)
1.0
5.8803 0.0000 0.0000
0.0000 5.8803 0.0000
0.0000 0.0000 4.4812
Ac Cd Ag O
2 1 1 6
direct
0.0000 0.5000 0.0000 Ac
0.5000 0.0000 0.0000 Ac
0.0000 0.0000 0.5431 Cd
0.5000 0.5000 0.6092 Ag
0.0000 0.0000 0.0633 O
0.2584 0.2584 0.6551 O
0.2584 0.7416 0.6551 O
0.5000 0.5000 0.1150 O
0.7416 0.2584 0.6551 O
0.7416 0.7416 0.6551 O


GaHg6Pb12 | Alexandria via LeMat-Bulk | GGA-PBE | relaxed; calculated total energy = -2.560 eV/atom; calculated formation energy = 37 meV per atom; space-group type = R-3 (148); energy above the lowest structure with this stoichiometry = 0.0 meV/atom
1.0
7.4491 4.3007 2.8808
-7.4491 4.3007 2.8808
0.0000 -8.6014 2.8808
Ga Hg Pb
1 6 12
direct
0.0000 0.0000 0.0000 Ga
0.2116 0.3082 0.4619 Hg
0.3082 0.4619 0.2116 Hg
0.4619 0.2116 0.3082 Hg
0.5381 0.7884 0.6918 Hg
0.6918 0.5381 0.7884 Hg
0.7884 0.6918 0.5381 Hg
0.0738 0.5840 0.3831 Pb
0.1005 0.1558 0.7393 Pb
0.1558 0.7393 0.1005 Pb
0.2607 0.8995 0.8442 Pb
0.3831 0.0738 0.5840 Pb
0.4160 0.6169 0.9262 Pb
0.5840 0.3831 0.0738 Pb
0.6169 0.9262 0.4160 Pb
0.7393 0.1005 0.1558 Pb
0.8442 0.2607 0.8995 Pb
0.8995 0.8442 0.2607 Pb
0.9262 0.4160 0.6169 Pb


GeH2F8 | Alexandria via LeMat-Bulk | GGA-PBE | relaxed; calculated total energy = -3.927 eV/atom; space-group type = P-1 (2); energy above the lowest structure with this stoichiometry = 0.0 meV/atom
1.0
4.9824 0.0000 0.0000
1.7300 4.7728 0.0000
0.7703 0.1298 6.3092
Ge H F
1 2 8
direct
0.0000 0.0000 0.0000 Ge
0.2982 0.7471 0.6309 H
0.7018 0.2529 0.3691 H
0.0712 0.8226 0.7352 F
0.1939 0.6825 0.1220 F
0.3142 0.1200 0.9297 F
0.4923 0.3162 0.4723 F
0.5077 0.6838 0.5277 F
0.6858 0.8800 0.0703 F
0.8061 0.3175 0.8780 F
0.9288 0.1774 0.2648 F


BaPPd2Br | Alexandria via LeMat-Bulk | GGA-PBE | relaxed; formation energy without anion corrections = 0.869 eV per atom; calculated total energy = -3.010 eV/atom; space-group type = P4/mmm (123)
1.0
5.6323 0.0000 0.0000
0.0000 5.6323 0.0000
0.0000 0.0000 6.0096
Ba P Pd Br
1 1 2 1
direct
0.0000 0.0000 0.0000 Ba
0.5000 0.5000 0.5000 P
0.0000 0.5000 0.0000 Pd
0.5000 0.0000 0.0000 Pd
0.0000 0.0000 0.5000 Br


Ac2PmGa3Pd4 | Alexandria via LeMat-Bulk | GGA-PBE | relaxed; calculated total energy = -5.070 eV/atom; calculated formation energy = -788 meV per atom; space-group type = P-4m2 (115)
1.0
4.4804 0.0000 0.0000
0.0000 4.4804 0.0000
0.0000 0.0000 11.2787
Ac Pm Ga Pd
2 1 3 4
direct
0.0000 0.5000 0.2275 Ac
0.5000 0.0000 0.7725 Ac
0.0000 0.0000 0.5000 Pm
0.0000 0.5000 0.8875 Ga
0.5000 0.0000 0.1125 Ga
0.5000 0.5000 0.5000 Ga
0.0000 0.0000 0.0000 Pd
0.0000 0.5000 0.6604 Pd
0.5000 0.0000 0.3396 Pd
0.5000 0.5000 0.0000 Pd


Mg2ZrSnAu | Alexandria via LeMat-Bulk | GGA-PBE | relaxed; calculated total energy = -2.959 eV/atom; calculated formation energy = 845 meV per atom; space-group type = P4/mmm (123); energy above the lowest structure with this stoichiometry = 0.0 meV/atom
1.0
5.5894 0.0000 0.0000
0.0000 5.5894 0.0000
0.0000 0.0000 5.0929
Mg Zr Sn Au
2 1 1 1
direct
0.0000 0.5000 0.0000 Mg
0.5000 0.0000 0.0000 Mg
0.0000 0.0000 0.0000 Zr
0.5000 0.5000 0.5000 Sn
0.0000 0.0000 0.5000 Au


VFe2Co5 | Alexandria via LeMat-Bulk | GGA-PBE | relaxed; calculated total energy = -7.648 eV/atom; calculated formation energy = 48 meV per atom; space-group type = Immm (71)
1.0
2.4722 0.0000 0.0000
0.0000 7.7508 0.0000
0.0000 0.0000 9.4155
V Fe Co
2 4 10
direct
0.0000 0.0000 0.0000 V
0.5000 0.5000 0.5000 V
0.0000 0.5000 0.2530 Fe
0.0000 0.5000 0.7470 Fe
0.5000 0.0000 0.2470 Fe
0.5000 0.0000 0.7530 Fe
0.0000 0.2346 0.3721 Co
0.0000 0.2346 0.6279 Co
0.0000 0.5000 0.0000 Co
0.0000 0.7654 0.3721 Co
0.0000 0.7654 0.6279 Co
0.5000 0.0000 0.5000 Co
0.5000 0.2654 0.1279 Co
0.5000 0.2654 0.8721 Co
0.5000 0.7346 0.1279 Co
0.5000 0.7346 0.8721 Co


La2NdSm2Dy2 | Alexandria via LeMat-Bulk | GGA-PBE | relaxed; calculated total energy = -4.728 eV/atom; calculated formation energy = 24 meV per atom; space-group type = C2/m (12)
1.0
11.5302 0.0000 0.0000
0.0000 5.1492 0.0000
-1.1366 0.0000 8.0967
La Nd Sm Dy
4 2 4 4
direct
0.1423 0.0000 0.4270 La
0.3577 0.5000 0.5730 La
0.6423 0.5000 0.4270 La
0.8577 0.0000 0.5730 La
0.0000 0.0000 0.0000 Nd
0.5000 0.5000 0.0000 Nd
0.2154 0.5000 0.1405 Sm
0.2846 0.0000 0.8595 Sm
0.7154 0.0000 0.1405 Sm
0.7846 0.5000 0.8595 Sm
0.0710 0.5000 0.7162 Dy
0.4290 0.0000 0.2838 Dy
0.5710 0.0000 0.7162 Dy
0.9290 0.5000 0.2838 Dy


Pm5Pt2 | Alexandria via LeMat-Bulk | GGA-PBE | relaxed; calculated total energy = -5.842 eV/atom; calculated formation energy = -723 meV per atom; space-group type = C2/c (15)
1.0
8.5038 -3.3652 0.0000
8.5038 3.3652 0.0000
-0.8501 0.0000 7.1735
Pm Pt
10 4
direct
0.0663 0.9337 0.7500 Pm
0.1512 0.2879 0.3127 Pm
0.2879 0.1512 0.8127 Pm
0.2971 0.5153 0.0722 Pm
0.4847 0.7029 0.4278 Pm
0.5153 0.2971 0.5722 Pm
0.7029 0.4847 0.9278 Pm
0.7121 0.8488 0.1873 Pm
0.8488 0.7121 0.6873 Pm
0.9337 0.0663 0.2500 Pm
0.0898 0.6867 0.4266 Pt
0.3133 0.9102 0.0734 Pt
0.6867 0.0898 0.9266 Pt
0.9102 0.3133 0.5734 Pt